1.
First-principles (PBE-GGA) data for a relaxed structure of BeTl2Cd, as listed in Alexandria.

The space group is Imm2 (No. 44) and the conventional cell measures 3.1858, 4.3834 and 13.5063 Å, with angles of 90.00, 90.00 and 90.00 degrees. Symmetry generates all atoms from Be at (0.0000, 0.0000, 0.0000), Tl at (0.0000, 0.0000, 0.4860), Tl at (0.0000, 0.5000, 0.2970) and Cd at (0.0000, 0.5000, 0.6629).

The magnetic moment comes out at 0.000 μB per atom. The formation energy from the elements is 0.386 eV/atom.



2.
First-principles (PBE-GGA) data for a relaxed structure of BeTl2Cd, as listed in Alexandria.

The space group is C2/m (No. 12) and the conventional cell measures 6.6772, 7.8731 and 3.6656 Å, with angles of 90.00, 97.25 and 90.00 degrees. Symmetry generates all atoms from Be at (0.0000, 0.0000, 0.0000), Tl at (0.2500, 0.2500, 0.5000) and Cd at (0.0000, 0.5000, 0.0000).

The magnetic moment comes out at 0.000 μB per atom. The formation energy from the elements is 0.541 eV/atom.



Which formula does entry 1 have? BeTl2Cd